No. 1
A relaxed Cs2CdHg4 crystal, computed with PBE.

```
Cs2CdHg4
1.0
0.000 5.103 5.928
5.099 0.000 5.928
5.099 5.103 0.000
Cs Cd Hg
2 1 4
direct
0.250 0.250 0.250 Cs
0.750 0.750 0.750 Cs
0.000 0.000 0.000 Cd
0.290 0.710 0.290 Hg
0.290 0.710 0.710 Hg
0.710 0.290 0.290 Hg
0.710 0.290 0.710 Hg
```

Output
Crystal system   orthorhombic
Magnetic moment   0.0 Bohr magnetons per cell
Space-group type   Fmmm (69)
Energy of formation   -143 meV per atom

---

No. 2
A relaxed NaAu2S2 crystal, computed with PBE.

```
NaAu2S2
1.0
-2.488 2.488 4.490
2.488 -2.488 4.490
2.488 2.488 -4.490
Na Au S
1 2 2
direct
0.000 0.000 0.000 Na
0.317 0.317 0.000 Au
0.683 0.683 0.000 Au
0.250 0.750 0.500 S
0.750 0.250 0.500 S
```

Output
Raw formation energy   -0.15 eV per atom
Crystal system   tetragonal
Magnetic moment   0.0 Bohr magnetons per cell
Space-group type   I4/mmm (139)

---

No. 3
A relaxed BaSmScO4 crystal, computed with PBE.

```
BaSmScO4
1.0
-2.041 2.041 6.427
2.041 -2.041 6.427
2.041 2.041 -6.427
Ba Sm Sc O
1 1 1 4
direct
0.000 0.000 0.000 Ba
0.715 0.715 0.000 Sm
0.350 0.350 0.000 Sc
0.189 0.189 0.000 O
0.336 0.836 0.500 O
0.535 0.535 0.000 O
0.836 0.336 0.500 O
```

Output
Raw formation energy   -3.13 eV per atom
Crystal system   tetragonal
Magnetic moment   0.0 Bohr magnetons per cell
Space-group type   I4mm (107)

---

No. 4
A relaxed CaH6S4O16 crystal, computed with PBE.

```
CaH6S4O16
1.0
5.541 0.000 0.000
1.357 7.709 0.000
2.105 -0.127 8.603
Ca H S O
1 6 4 16
direct
0.000 0.000 0.000 Ca
0.279 0.032 0.382 H
0.289 0.474 0.673 H
0.313 0.523 0.202 H
0.687 0.477 0.798 H
0.711 0.526 0.327 H
0.721 0.968 0.618 H
0.057 0.337 0.265 S
0.467 0.817 0.229 S
0.533 0.183 0.771 S
0.943 0.663 0.735 S
0.049 0.761 0.831 O
0.156 0.543 0.621 O
0.207 0.457 0.152 O
0.214 0.241 0.359 O
0.289 0.126 0.814 O
0.315 0.864 0.116 O
0.319 0.902 0.390 O
0.492 0.628 0.261 O
0.508 0.372 0.739 O
0.681 0.098 0.610 O
0.685 0.136 0.884 O
0.711 0.874 0.186 O
0.786 0.759 0.641 O
0.793 0.543 0.848 O
0.844 0.457 0.379 O
0.951 0.239 0.169 O
```

Output
Crystal system   triclinic
Magnetic moment   0.2 Bohr magnetons per cell
Space-group type   P-1 (2)
Uncorrected energy   -5.7689 eV/atom